#1
# BeGaAu (PBE-GGA, relaxed)
data_BeGaAu
_symmetry_space_group_name_H-M 'F -4 3 m'
_symmetry_Int_Tables_number 216
_symmetry_space_group_name_Hall 'F -4 2 3'
_cell_length_a 5.8447
_cell_length_b 5.8447
_cell_length_c 5.8447
_cell_angle_alpha 90.00
_cell_angle_beta 90.00
_cell_angle_gamma 90.00
loop_
_atom_site_label
_atom_site_fract_x
_atom_site_fract_y
_atom_site_fract_z
_atom_site_occupancy
Be1 0.0000 0.0000 0.0000 1
Ga1 0.2500 0.2500 0.7500 1
Au1 0.0000 0.0000 0.5000 1
# - density (g/cm³) = 9.17



#2
# BeGaAu (PBE-GGA, relaxed)
data_BeGaAu
_symmetry_space_group_name_H-M 'F -4 3 m'
_symmetry_Int_Tables_number 216
_symmetry_space_group_name_Hall 'F -4 2 3'
_cell_length_a 5.8527
_cell_length_b 5.8527
_cell_length_c 5.8527
_cell_angle_alpha 90.00
_cell_angle_beta 90.00
_cell_angle_gamma 90.00
loop_
_atom_site_label
_atom_site_fract_x
_atom_site_fract_y
_atom_site_fract_z
_atom_site_occupancy
Be1 0.0000 0.0000 0.0000 1
Ga1 0.0000 0.0000 0.5000 1
Au1 0.2500 0.2500 0.2500 1
# - density (g/cm³) = 9.13



Which of them is the most stable? Correct choice: #2.



#1
# BeGaHgAu (PBE-GGA, relaxed)
data_BeGaHgAu
_symmetry_space_group_name_H-M 'F -4 3 m'
_symmetry_Int_Tables_number 216
_symmetry_space_group_name_Hall 'F -4 2 3'
_cell_length_a 6.5014
_cell_length_b 6.5014
_cell_length_c 6.5014
_cell_angle_alpha 90.00
_cell_angle_beta 90.00
_cell_angle_gamma 90.00
loop_
_atom_site_label
_atom_site_fract_x
_atom_site_fract_y
_atom_site_fract_z
_atom_site_occupancy
Be1 0.0000 0.0000 0.0000 1
Ga1 0.0000 0.0000 0.5000 1
Hg1 0.2500 0.2500 0.2500 1
Au1 0.2500 0.2500 0.7500 1
# - density (g/cm³) = 11.51



#2
# BeGaHgAu (PBE-GGA, relaxed)
data_BeGaHgAu
_symmetry_space_group_name_H-M 'F -4 3 m'
_symmetry_Int_Tables_number 216
_symmetry_space_group_name_Hall 'F -4 2 3'
_cell_length_a 6.5878
_cell_length_b 6.5878
_cell_length_c 6.5878
_cell_angle_alpha 90.00
_cell_angle_beta 90.00
_cell_angle_gamma 90.00
loop_
_atom_site_label
_atom_site_fract_x
_atom_site_fract_y
_atom_site_fract_z
_atom_site_occupancy
Be1 0.0000 0.0000 0.0000 1
Ga1 0.2500 0.2500 0.7500 1
Hg1 0.0000 0.0000 0.5000 1
Au1 0.2500 0.2500 0.2500 1
# - density (g/cm³) = 11.07



Which of them is the most stable? Correct choice: #1.